P) A relaxed structure of BeCoCl2. Source: the Alexandria database, functional PBE.

POSCAR file:
```
BeCoCl2
1.0
3.1076 0.0000 0.0000
0.0000 3.4747 0.0000
0.0000 0.0000 6.1062
Be Co Cl
1 1 2
direct
0.0000 0.0000 0.0000
0.5000 0.0000 0.5000
0.0000 0.5000 0.5000
0.5000 0.5000 0.0000
```

Output
Space group: Pmmm
Crystal system: orthorhombic
Calculated volume: 16.484 A^3/atom
Total magnetic moment: 1.47 μB per cell

Q) A relaxed structure of BeCoCl2. Source: the Alexandria database, functional PBE.

POSCAR file:
```
BeCoCl2
1.0
-1.4996 4.2382 4.3680
1.4996 -4.2382 4.3680
1.4996 4.2382 -4.3680
Be Co Cl
1 1 2
direct
0.0000 0.0000 0.0000
0.7804 0.2804 0.5000
0.1517 0.6517 0.5000
0.5988 0.5988 0.0000
```

Output
Space group: Imm2
Crystal system: orthorhombic
Calculated volume: 27.762 A^3/atom
Total magnetic moment: 1.77 μB per cell

R) A relaxed structure of BeCoCl2. Source: the Alexandria database, functional PBE.

POSCAR file:
```
BeCoCl2
1.0
1.7365 1.0026 6.7199
-1.7365 1.0026 6.7199
0.0000 -2.0051 6.7199
Be Co Cl
1 1 2
direct
0.0000 0.0000 0.0000
0.5000 0.5000 0.5000
0.0992 0.0992 0.0992
0.9008 0.9008 0.9008
```

Output
Space group: R-3m
Crystal system: trigonal
Calculated volume: 17.549 A^3/atom
Total magnetic moment: 1.04 μB per cell

Q) is the most stable structure; the next one sits 24.4 kJ/mol of atoms above it.

P) A relaxed structure of BeCoCl. Source: the Alexandria database, functional PBE.

POSCAR file:
```
BeCoCl
1.0
-1.5832 2.9618 4.6822
1.5832 -2.9618 4.6822
1.5832 2.9618 -4.6822
Be Co Cl
2 2 2
direct
0.1222 0.1222 0.0000
0.8778 0.8778 0.0000
0.1882 0.5000 0.6882
0.8118 0.5000 0.3118
0.3379 0.3379 0.0000
0.6621 0.6621 0.0000
```

Output
Space group: Immm
Crystal system: orthorhombic
Calculated volume: 14.637 A^3/atom
Total magnetic moment: 2.30 μB per cell

Q) A relaxed structure of BeCoCl. Source: the Alexandria database, functional PBE.

POSCAR file:
```
BeCoCl
1.0
2.9286 0.0000 0.0000
-0.0001 2.9835 0.0000
-0.0440 -0.8598 9.8483
Be Co Cl
2 2 2
direct
0.0000 0.0000 0.0000
0.0033 0.0332 0.2217
0.5015 0.4990 0.1058
0.5053 0.5810 0.3468
0.0078 0.6272 0.5182
0.4981 0.1927 0.8703
```

Output
Space group: P1
Crystal system: triclinic
Calculated volume: 14.342 A^3/atom
Total magnetic moment: 1.99 μB per cell

R) A relaxed structure of BeCoCl. Source: the Alexandria database, functional PBE.

POSCAR file:
```
BeCoCl
1.0
0.0000 2.5323 5.6514
1.4731 0.0000 5.6514
1.4731 2.5323 0.0000
Be Co Cl
1 1 1
direct
0.0000 0.0000 0.0000
0.3544 0.3544 0.6456
0.6289 0.6289 0.3711
```

Output
Space group: Fmm2
Crystal system: orthorhombic
Calculated volume: 14.055 A^3/atom
Total magnetic moment: 1.50 μB per cell

Q) is the most stable structure; the next one sits 8.1 kJ/mol of atoms above it.

P) A relaxed structure of BeCoCl. Source: the Alexandria database, functional PBE.

POSCAR file:
```
BeCoCl
1.0
3.2151 0.0000 0.0000
-0.0004 3.2153 0.0000
-0.0086 -0.0052 9.8978
Be Co Cl
2 2 2
direct
0.0000 0.0000 0.0000
0.0031 0.9989 0.3639
0.0031 0.5004 0.1860
0.5030 0.0005 0.1779
0.0017 0.4999 0.8718
0.5034 0.0009 0.4922
```

Output
Space group: P1
Crystal system: triclinic
Calculated volume: 17.053 A^3/atom
Total magnetic moment: 2.51 μB per cell

Q) A relaxed structure of BeCoCl. Source: the Alexandria database, functional PBE.

POSCAR file:
```
BeCoCl
1.0
-1.3840 1.4645 4.9808
1.3840 -1.4645 4.9808
1.3840 1.4645 -4.9808
Be Co Cl
1 1 1
direct
0.0000 0.0000 0.0000
0.3717 0.3717 0.0000
0.1726 0.6726 0.5000
```

Output
Space group: Imm2
Crystal system: orthorhombic
Calculated volume: 13.460 A^3/atom
Total magnetic moment: 1.28 μB per cell

P) is the most stable structure; the next one sits 46.3 kJ/mol of atoms above it.

P) A relaxed structure of BeCoCl. Source: the Alexandria database, functional PBE.

POSCAR file:
```
BeCoCl
1.0
0.0000 2.7477 2.7477
2.7477 0.0000 2.7477
2.7477 2.7477 0.0000
Be Co Cl
1 1 1
direct
0.0000 0.0000 0.0000
0.2500 0.2500 0.2500
0.7500 0.7500 0.7500
```

Output
Space group: F-43m
Crystal system: cubic
Calculated volume: 13.830 A^3/atom
Total magnetic moment: 0.96 μB per cell

Q) A relaxed structure of BeCoCl. Source: the Alexandria database, functional PBE.

POSCAR file:
```
BeCoCl
1.0
3.1149 0.0000 0.0000
0.0000 3.4143 0.0000
-1.5404 0.0000 8.2486
Be Co Cl
2 2 2
direct
0.0427 0.2500 0.0862
0.9573 0.7500 0.9138
0.4458 0.2500 0.8909
0.5542 0.7500 0.1091
0.3512 0.7500 0.7057
0.6488 0.2500 0.2943
```

Output
Space group: P2_1/m
Crystal system: monoclinic
Calculated volume: 14.621 A^3/atom
Total magnetic moment: 0.00 μB per cell

R) A relaxed structure of BeCoCl. Source: the Alexandria database, functional PBE.

POSCAR file:
```
BeCoCl
1.0
9.0410 0.0000 0.0000
0.0000 3.6355 0.0000
0.0000 0.0000 6.6179
Be Co Cl
4 4 4
direct
0.0557 0.2500 0.0086
0.4443 0.7500 0.5086
0.5557 0.2500 0.4914
0.9443 0.7500 0.9914
0.1787 0.7500 0.9359
0.3213 0.2500 0.4359
0.6787 0.7500 0.5641
0.8213 0.2500 0.0641
0.2106 0.7500 0.6011
0.2894 0.2500 0.1011
0.7106 0.7500 0.8989
0.7894 0.2500 0.3989
```

Output
Space group: Pnma
Crystal system: orthorhombic
Calculated volume: 18.127 A^3/atom
Total magnetic moment: 4.91 μB per cell

Q) is the most stable structure; the next one sits 48.0 kJ/mol of atoms above it.

P) A relaxed structure of BeCoCl. Source: the Alexandria database, functional PBE.

POSCAR file:
```
BeCoCl
1.0
4.4516 0.0000 0.0000
0.0000 4.4516 0.0000
0.0000 0.0000 4.4516
Be Co Cl
2 2 2
direct
0.2500 0.2500 0.1213
0.7500 0.7500 0.8787
0.2500 0.2500 0.6444
0.7500 0.7500 0.3556
0.2500 0.7500 0.5000
0.7500 0.2500 0.5000
```

Output
Space group: P4/nmm
Crystal system: tetragonal
Calculated volume: 14.703 A^3/atom
Total magnetic moment: 1.41 μB per cell

Q) A relaxed structure of BeCoCl. Source: the Alexandria database, functional PBE.

POSCAR file:
```
BeCoCl
1.0
0.0000 2.6558 2.6558
2.6558 0.0000 2.6558
2.6558 2.6558 0.0000
Be Co Cl
1 1 1
direct
0.0000 0.0000 0.0000
0.2500 0.2500 0.2500
0.5000 0.5000 0.5000
```

Output
Space group: F-43m
Crystal system: cubic
Calculated volume: 12.488 A^3/atom
Total magnetic moment: 0.00 μB per cell

R) A relaxed structure of BeCoCl. Source: the Alexandria database, functional PBE.

POSCAR file:
```
BeCoCl
1.0
3.5107 0.0000 0.0000
1.7553 3.0412 0.0000
0.0164 0.3870 8.7000
Be Co Cl
2 2 2
direct
0.1651 0.1700 0.4755
0.8349 0.8300 0.5245
0.4919 0.5175 0.3678
0.5081 0.4825 0.6322
0.1493 0.2040 0.2123
0.8507 0.7960 0.7877
```

Output
Space group: P-1
Crystal system: triclinic
Calculated volume: 15.481 A^3/atom
Total magnetic moment: 2.00 μB per cell

S) A relaxed structure of BeCoCl. Source: the Alexandria database, functional PBE.

POSCAR file:
```
BeCoCl
1.0
3.7372 0.0000 0.0000
-1.8686 3.2365 0.0000
0.0000 0.0000 6.3195
Be Co Cl
2 2 2
direct
0.0000 0.0000 0.0000
0.0000 0.0000 0.5000
0.3333 0.6667 0.2500
0.6667 0.3333 0.7500
0.3333 0.6667 0.7500
0.6667 0.3333 0.2500
```

Output
Space group: P6_3/mmc
Crystal system: hexagonal
Calculated volume: 12.739 A^3/atom
Total magnetic moment: 0.00 μB per cell

R) is the most stable structure; the next one sits 81.4 kJ/mol of atoms above it.